# 1
Material: Nd2CoNi
Method: DFT, PBE-GGA
State: optimized geometry

abc: 3.9924 3.9456 5.8822
angles: 109.60 90.00 90.00
Closest atoms and distances in Å follow each position.
Element x y z (fractional)
Nd (0.0000, 0.9843, 0.9686)  4 Ni 2.93, 3 Co 3.02-3.25
Nd (0.5000, 0.2635, 0.5270)  4 Co 2.92, 2 Ni 2.99
Co (0.0000, 0.6911, 0.3822)  2 Ni 2.47
Ni (0.5000, 0.5604, 0.1207)  2 Co 2.47

Output
Uncorrected energy in eV per atom: -5.7826
Calculated formation energy in meV per atom: -176.9

# 2
Material: RbGaTeS4
Method: DFT, PBE-GGA
State: optimized geometry

abc: 6.8890 6.9952 9.1941
angles: 90.00 108.55 90.00
Closest atoms and distances in Å follow each position.
Element x y z (fractional)
Rb (0.7270, 0.7500, 0.9507)  2 S 3.25-3.29
Rb (0.2730, 0.2500, 0.0493)  2 S 3.25-3.29
Ga (0.2587, 0.7500, 0.3344)  4 S 2.23-2.32
Ga (0.7413, 0.2500, 0.6656)  4 S 2.23-2.32
Te (0.7741, 0.7500, 0.5015)  3 S 2.41-2.57
Te (0.2259, 0.2500, 0.4985)  3 S 2.41-2.57
S (0.9671, 0.5026, 0.7016)  1 Ga 2.31, 1 Te 2.57
S (0.0329, 0.0026, 0.2984)  1 Ga 2.31, 1 Te 2.57
S (0.0329, 0.4974, 0.2984)  1 Ga 2.31, 1 Te 2.57
S (0.9671, 0.9974, 0.7016)  1 Ga 2.31, 1 Te 2.57
S (0.4824, 0.7500, 0.2052)  1 Ga 2.23
S (0.5176, 0.2500, 0.7948)  1 Ga 2.23
S (0.4764, 0.7500, 0.5854)  1 Ga 2.32, 1 Te 2.41
S (0.5236, 0.2500, 0.4146)  1 Ga 2.32, 1 Te 2.41

Output
Uncorrected energy in eV per atom: -3.8666

# 3
Material: Tm4TlAg5
Method: DFT, PBE-GGA
State: optimized geometry

abc: 3.6137 3.6137 17.6329
angles: 90.00 90.00 90.00
Closest atoms and distances in Å follow each position.
Element x y z (fractional)
Tm (0.0000, 0.0000, 0.1951)  8 Ag 3.02-3.11
Tm (0.0000, 0.0000, 0.3980)  8 Ag 3.12-3.13
Tm (0.0000, 0.0000, 0.6020)  8 Ag 3.12-3.13
Tm (0.0000, 0.0000, 0.8049)  8 Ag 3.02-3.11
Tl (0.0000, 0.0000, 0.0000)  8 Ag 3.14, 2 Tm 3.44
Ag (0.5000, 0.5000, 0.1036)  4 Tm 3.02, 4 Tl 3.14
Ag (0.5000, 0.5000, 0.2956)  8 Tm 3.11-3.13, 1 Ag 3.38
Ag (0.5000, 0.5000, 0.5000)  8 Tm 3.12
Ag (0.5000, 0.5000, 0.7044)  8 Tm 3.11-3.13, 1 Ag 3.38
Ag (0.5000, 0.5000, 0.8964)  4 Tm 3.02, 4 Tl 3.14

Output
Uncorrected energy in eV per atom: -3.7113
Calculated formation energy in meV per atom: -260.5

# 4
Material: Na2SmSbTe4
Method: DFT, PBE-GGA
State: optimized geometry

abc: 4.4736 7.7939 7.9752
angles: 108.84 90.00 90.00
Closest atoms and distances in Å follow each position.
Element x y z (fractional)
Na (0.5000, 0.0000, 0.5000)  6 Te 3.26
Na (0.0000, 0.5000, 0.5000)  6 Te 3.30-3.31
Sm (0.5000, 0.5000, 0.0000)  6 Te 3.15-3.16
Sb (0.0000, 0.0000, 0.0000)  6 Te 3.10-3.11
Te (0.5000, 0.2392, 0.2320)  2 Sb 3.11, 1 Sm 3.16, 3 Na 3.26-3.30
Te (0.5000, 0.7608, 0.7680)  2 Sb 3.11, 1 Sm 3.16, 3 Na 3.26-3.30
Te (0.0000, 0.2499, 0.7663)  1 Sb 3.10, 2 Sm 3.15, 3 Na 3.26-3.31
Te (0.0000, 0.7501, 0.2337)  1 Sb 3.10, 2 Sm 3.15, 3 Na 3.26-3.31

Output
Uncorrected energy in eV per atom: -3.8892